A plane-wave DFT calculation with PBEsol was carried out for LiMg2Ag2 after structural relaxation.

Computed properties:
Energy of formation from the pure elements (meV per atom): -169
Density (kg/m3): 4781
Magnetic moment (μB per formula unit): 0.00
Crystal system: tetragonal

a b c (Å): 7.633 7.633 3.234
angles (deg): 90.00 90.00 90.00
Space group P4/mbm (No. 127)
One atom of each set of equivalent atoms:
1 Li 0.000 0.000 0.000
2 Mg 0.160 0.340 0.500
3 Ag 0.137 0.637 0.000

A plane-wave DFT calculation with PBEsol was carried out for ZnIr2Rh after structural relaxation.

Computed properties:
Energy of formation from the pure elements (meV per atom): -92
Density (kg/m3): 16712
Magnetic moment (μB per formula unit): 0.00
Crystal system: monoclinic

a b c (Å): 8.865 2.716 4.629
angles (deg): 90.00 99.71 90.00
Space group Cm (No. 8)
One atom of each set of equivalent atoms:
1 Zn 0.000 0.000 0.000
2 Ir 0.000 0.500 0.500
3 Ir 0.246 0.000 0.725
4 Rh 0.253 0.500 0.231

A plane-wave DFT calculation with PBEsol was carried out for MoBr3 after structural relaxation.

Computed properties:
Uncorrected formation energy (eV/atom): -0.22
Density (kg/m3): 4278
Magnetic moment (μB per formula unit): 2.09
Crystal system: hexagonal

a b c (Å): 9.5382 9.5382 3.3071
angles (deg): 90.00 90.00 120.00
Space group P6_3/mmc (No. 194)
One atom of each set of equivalent atoms:
1 Mo 0.3333 0.6667 0.2500
2 Br 0.2140 0.4281 0.7500

A plane-wave DFT calculation with PBEsol was carried out for BaLaPt4 after structural relaxation.

Computed properties:
Energy of formation from the pure elements (meV per atom): -863
Density (kg/m3): 14657
Magnetic moment (μB per formula unit): 0.00
Crystal system: cubic

a b c (Å): 7.823 7.823 7.823
angles (deg): 90.00 90.00 90.00
Space group F-43m (No. 216)
One atom of each set of equivalent atoms:
1 Ba 0.000 0.000 0.000
2 La 0.250 0.250 0.250
3 Pt 0.125 0.125 0.625

- What is the formula in the fourth record?
  BaLaPt4

Please write out number 2 again, unchanged.
A plane-wave DFT calculation with PBEsol was carried out for ZnIr2Rh after structural relaxation.

Computed properties:
Energy of formation from the pure elements (meV per atom): -92
Density (kg/m3): 16712
Magnetic moment (μB per formula unit): 0.00
Crystal system: monoclinic

a b c (Å): 8.865 2.716 4.629
angles (deg): 90.00 99.71 90.00
Space group Cm (No. 8)
One atom of each set of equivalent atoms:
1 Zn 0.000 0.000 0.000
2 Ir 0.000 0.500 0.500
3 Ir 0.246 0.000 0.725
4 Rh 0.253 0.500 0.231

- The highest density belongs to which entry?
  ZnIr2Rh